Material: TlCu
Method: DFT, PBE-GGA
State: relaxed

Computed properties:
**Total magnetic moment**: 0.000 μB per atom
**Crystal system**: tetragonal
**ρ**: 10.41 g/cm3
**Energy of formation**: 0.23 eV/atom
**Final energy**: -48.00 eV/cell

abc: 10.125 10.125 3.336
angles: 90.00 90.00 90.00
Space group I4/m (No. 87)
Inequivalent atoms, fractional coordinates:
Tl1 0.120 0.189 0.000 (multiplicity 8)
Cu1 0.073 0.609 0.000 (multiplicity 8)